Here is HoTcRu after structural relaxation from Alexandria via LeMat-Bulk. Energies are from PBE.

The structure in POSCAR format:
```
HoTcRu
1.0
8.596 0.000 0.000
0.000 2.642 4.779
0.000 -2.642 4.779
Ho Tc Ru
4 4 4
Direct
0.183 0.000 0.000 Ho
0.312 0.669 0.669 Ho
0.688 0.669 0.669 Ho
0.817 0.000 0.000 Ho
0.249 0.341 0.341 Tc
0.500 0.158 0.674 Tc
0.500 0.674 0.158 Tc
0.751 0.341 0.341 Tc
0.000 0.500 0.500 Ru
0.000 0.503 0.985 Ru
0.000 0.985 0.503 Ru
0.500 0.157 0.157 Ru
```

Summary:
energy above the most stable polymorph in this dataset = 0 meV per atom
total moment = 0.000 μB per formula unit
E = -8.350 eV/atom